[1]
First-principles (GGA-PBE) data for a relaxed Tc2Br8N crystal, as listed in the Alexandria database.

a = 7.6252 Å, b = 8.2277 Å, c = 8.2277 Å
α = 95.26°, β = 70.64°, γ = 70.64°
Last column: magnetic moment on the atom in μB.
Fractional positions:
Tc: 0.2066 0.8284 0.8284  1.00
Tc: 0.7934 0.1716 0.1716  1.00
Br: 0.7845 0.9765 0.3841  0.15
Br: 0.2155 0.6159 0.0235  0.15
Br: 0.5307 0.8162 0.8162  0.03
Br: 0.4693 0.1838 0.1838  0.03
Br: 0.7845 0.3841 0.9765  0.15
Br: 0.2155 0.0235 0.6159  0.15
Br: 0.1200 0.6461 0.6461  0.03
Br: 0.8800 0.3539 0.3539  0.03
N: 0.0000 0.0000 0.0000  -0.11

DOS at the Fermi energy (states/eV per cell): 5.9
Crystal system: monoclinic
Symmetry: C2/m, No. 12
Raw formation energy (eV/f.u.): -2.3
Total magnetization (μB per formula unit): 3.05

=====

[2]
First-principles (GGA-PBE) data for a relaxed ReOsAu2 crystal, as listed in the Alexandria database.

a = 4.5243 Å, b = 4.5243 Å, c = 4.5243 Å
α = 60.00°, β = 60.00°, γ = 60.00°
Last column: magnetic moment on the atom in μB.
Fractional positions:
Au: 0.0000 0.0000 0.0000  0.02
Au: 0.2500 0.2500 0.2500  0.01
Os: 0.5000 0.5000 0.5000  0.12
Re: 0.7500 0.7500 0.7500  0.08

DOS at the Fermi energy (states/eV per cell): 5.8
Calculated formation energy (meV/atom): 824
Crystal system: cubic
ΔE to the lowest computed polymorph (eV per atom): 0.606
Symmetry: F-43m, No. 216
Total magnetization (μB per formula unit): 0.24

=====

Number 1: energy -44.78 eV/f.u.. Number 2: energy -26.94 eV/f.u..